Crystalline Be2CrAg at its relaxed geometry, computed with PBE.

The structure in POSCAR format:
```
Be2CrAg
1.0
0.000 2.863 2.863
2.863 0.000 2.863
2.863 2.863 0.000
Be Cr Ag
2 1 1
Direct
0.250 0.250 0.250
0.750 0.750 0.750
0.000 0.000 0.000
0.500 0.500 0.500
```

## Properties
The calculation puts the formation energy at 0.228 eV per atom. As for the space group: Fm-3m (225). The value obtained for the energy is -19.02 eV/cell. The offset from the most stable computed form is 16 meV per atom.